Nd9Dy4In11 after structural relaxation. Source: Alexandria via LeMat-Bulk, functional PBE-GGA.

extended XYZ file:
```
24
Lattice="9.0661 -10.7411 0.0000 9.0661 10.7411 0.0000 0.0000 0.0000 3.5428" Properties=species:S:1:pos:R:3 pbc="T T T"
Nd 0.0000 0.0000 0.0000
Nd 6.9633 5.5516 0.0000
Nd 6.8579 1.8662 0.0000
Nd 11.1690 5.5516 0.0000
Nd 6.8579 -1.8662 0.0000
Nd 11.2744 1.8662 0.0000
Nd 6.9633 -5.5516 0.0000
Nd 11.2744 -1.8662 0.0000
Nd 11.1690 -5.5516 0.0000
Dy 2.7638 1.8164 0.0000
Dy 2.7638 -1.8164 0.0000
Dy 15.3685 1.8164 0.0000
Dy 15.3685 -1.8164 0.0000
In 4.6329 3.7856 1.7714
In 9.0661 7.8279 1.7714
In 4.7243 0.0000 1.7714
In 9.0661 3.5969 1.7714
In 4.6329 -3.7856 1.7714
In 9.0661 0.0000 1.7714
In 13.4994 3.7856 1.7714
In 9.0661 -3.5969 1.7714
In 13.4080 0.0000 1.7714
In 9.0661 -7.8279 1.7714
In 13.4994 -3.7856 1.7714
```

Results
- size of the total moment (μB/f.u.) = 0.0
- ΔH_f (0 K) (kJ/mol of formula units) = -944
- Fermi-level density of states (states/eV per cell) = 20.48